1.
DyMgBi: relaxed, PBE-GGA.

```
data_DyMgBi
_space_group_name_H-M_alt 'P 3 m 1'
_space_group_IT_number 156
_cell_length_a 4.8547
_cell_length_b 4.8547
_cell_length_c 4.0257
_cell_angle_alpha 90.00
_cell_angle_beta 90.00
_cell_angle_gamma 120.00
loop_
_space_group_symop_operation_xyz
'x,y,z'
'-y,x-y,z'
'-x+y,-x,z'
'-y,-x,z'
'-x+y,y,z'
'x,x-y,z'
loop_
_atom_site_label
_atom_site_fract_x
_atom_site_fract_y
_atom_site_fract_z
Dy1 0.0000 0.0000 0.0000
Mg1 0.3333 0.6667 0.4825
Bi1 0.6667 0.3333 0.5124
```

Output
- Energy above the most stable polymorph in this dataset: 0.000 eV per atom
- Formation energy from the elements: -0.310 eV/atom



2.
Sr4As2I3: relaxed, PBE-GGA.

```
data_Sr4As2I3
_space_group_name_H-M_alt 'C 1 2/m 1'
_space_group_IT_number 12
_cell_length_a 7.930
_cell_length_b 4.578
_cell_length_c 19.729
_cell_angle_alpha 90.00
_cell_angle_beta 90.06
_cell_angle_gamma 90.00
loop_
_space_group_symop_operation_xyz
'x,y,z'
'-x,-y,-z'
'-x,y,-z'
'x,-y,z'
'x+1/2,y+1/2,z'
'-x+1/2,-y+1/2,-z'
'-x+1/2,y+1/2,-z'
'x+1/2,-y+1/2,z'
loop_
_atom_site_label
_atom_site_fract_x
_atom_site_fract_y
_atom_site_fract_z
Sr1 0.001 0.000 0.301
Sr2 0.166 0.500 0.878
As1 0.167 0.500 0.202
I1 0.000 0.000 0.000
I2 0.166 0.500 0.601
```

Output
- Raw formation energy: -1358 meV/atom



3.
NdThCSe: relaxed, PBE-GGA.

```
data_NdThCSe
_space_group_name_H-M_alt 'R 3 m'
_space_group_IT_number 160
_space_group_name_Hall 'R 3 -2"'
_cell_length_a 3.8910
_cell_length_b 3.8910
_cell_length_c 21.1299
_cell_angle_alpha 90.00
_cell_angle_beta 90.00
_cell_angle_gamma 120.00
loop_
_atom_site_label
_atom_site_fract_x
_atom_site_fract_y
_atom_site_fract_z
Nd1 0.0000 0.0000 0.0000
Th1 0.0000 0.0000 0.8004
C1 0.0000 0.0000 0.4081
Se1 0.0000 0.0000 0.2336
```

Output
- Raw formation energy: -1035 meV/atom



4.
PrThAu: relaxed, PBE-GGA.

```
data_PrThAu
_space_group_name_H-M_alt 'I 4 m m'
_space_group_IT_number 107
_space_group_name_Hall 'I 4 -2'
_cell_length_a 3.774
_cell_length_b 3.774
_cell_length_c 12.318
_cell_angle_alpha 90.00
_cell_angle_beta 90.00
_cell_angle_gamma 90.00
loop_
_atom_site_label
_atom_site_fract_x
_atom_site_fract_y
_atom_site_fract_z
Pr1 0.000 0.000 0.000
Th1 0.000 0.000 0.299
Au1 0.000 0.000 0.666
```

Output
- Energy above the most stable polymorph in this dataset: 0.000 eV per atom
- Formation energy from the elements: -0.397 eV/atom



5.
AcCeHoHg: relaxed, PBE-GGA.

```
data_AcCeHoHg
_space_group_name_H-M_alt 'F -4 3 m'
_space_group_IT_number 216
_space_group_name_Hall 'F -4 2 3'
_cell_length_a 7.888
_cell_length_b 7.888
_cell_length_c 7.888
_cell_angle_alpha 90.00
_cell_angle_beta 90.00
_cell_angle_gamma 90.00
loop_
_atom_site_label
_atom_site_fract_x
_atom_site_fract_y
_atom_site_fract_z
Ac1 0.000 0.000 0.000
Ce1 0.250 0.250 0.250
Ho1 0.250 0.250 0.750
Hg1 0.000 0.000 0.500
```

Output
- Formation energy from the elements: 0.078 eV/atom



6.
ZnNiIr2: relaxed, PBE-GGA.

```
data_ZnNiIr2
_space_group_name_H-M_alt 'C m m m'
_space_group_IT_number 65
_space_group_name_Hall '-C 2 2'
_cell_length_a 2.760
_cell_length_b 4.629
_cell_length_c 8.692
_cell_angle_alpha 90.00
_cell_angle_beta 90.00
_cell_angle_gamma 90.00
loop_
_atom_site_label
_atom_site_fract_x
_atom_site_fract_y
_atom_site_fract_z
Zn1 0.000 0.000 0.000
Ni1 0.000 0.000 0.500
Ir1 0.000 0.500 0.255
```

Output
- Formation energy from the elements: 0.095 eV/atom



Number 1: total energy -3.669 eV per atom. Number 2: total energy -3.655 eV per atom. Number 3: total energy -7.259 eV per atom. Number 4: total energy -5.556 eV per atom. Number 5: total energy -3.652 eV per atom. Number 6: total energy -6.100 eV per atom.